(1)
Computed, not measured: AcBi2O6 after structural relaxation at the GGA-PBE level of DFT.

Results
As for the magnetic moment: 0.000 μB per formula unit. As for the energy: -56.19 eV/f.u. As for the space-group type: P-31m.

Unit cell a=5.8010 b=5.8010 c=5.3425 alpha=90.00 beta=90.00 gamma=120.00
Positions (direct):
Ac (0.0000, 0.0000, 0.0000)
Bi (0.3333, 0.6667, 0.5000)
Bi (0.6667, 0.3333, 0.5000)
O (0.0000, 0.3628, 0.7236)
O (0.0000, 0.6372, 0.2764)
O (0.3628, 0.0000, 0.7236)
O (0.3628, 0.3628, 0.2764)
O (0.6372, 0.0000, 0.2764)
O (0.6372, 0.6372, 0.7236)



(2)
Computed, not measured: Ac3BiO3 after structural relaxation at the GGA-PBE level of DFT.

Results
As for the magnetic moment: 0.000 μB per formula unit. As for the energy: -49.20 eV/f.u. As for the space-group type: P2_1/m. Its energy above the most stable polymorph in this dataset is 5 meV per atom.

Unit cell a=10.0887 b=4.4194 c=10.0916 alpha=90.00 beta=119.98 gamma=90.00
Positions (direct):
Ac (0.0891, 0.2500, 0.3694)
Ac (0.2806, 0.2500, 0.9108)
Ac (0.3699, 0.7500, 0.2805)
Ac (0.6301, 0.2500, 0.7195)
Ac (0.7194, 0.7500, 0.0892)
Ac (0.9109, 0.7500, 0.6306)
Bi (0.3330, 0.7500, 0.6664)
Bi (0.6670, 0.2500, 0.3336)
O (0.0168, 0.2500, 0.7365)
O (0.2640, 0.2500, 0.2806)
O (0.2811, 0.7500, 0.0169)
O (0.7189, 0.2500, 0.9831)
O (0.7360, 0.7500, 0.7194)
O (0.9832, 0.7500, 0.2635)



(3)
Computed, not measured: Ac2BiO5 after structural relaxation at the GGA-PBE level of DFT.

Results
As for the magnetic moment: 0.000 μB per formula unit. As for the energy: -56.96 eV/f.u. As for the space-group type: P2_1/c.

Unit cell a=10.3629 b=7.9435 c=7.2918 alpha=90.00 beta=107.04 gamma=90.00
Positions (direct):
Ac (0.0198, 0.1280, 0.2410)
Ac (0.0198, 0.3720, 0.7410)
Ac (0.3592, 0.1274, 0.0578)
Ac (0.3592, 0.3726, 0.5578)
Ac (0.6408, 0.6274, 0.4422)
Ac (0.6408, 0.8726, 0.9422)
Ac (0.9802, 0.6280, 0.2590)
Ac (0.9802, 0.8720, 0.7590)
Bi (0.3143, 0.6058, 0.0643)
Bi (0.3143, 0.8942, 0.5643)
Bi (0.6857, 0.1058, 0.4357)
Bi (0.6857, 0.3942, 0.9357)
O (0.1000, 0.6263, 0.9869)
O (0.1000, 0.8737, 0.4869)
O (0.1097, 0.1142, 0.9433)
O (0.1097, 0.3858, 0.4433)
O (0.2813, 0.0993, 0.3566)
O (0.2813, 0.4007, 0.8566)
O (0.3381, 0.6903, 0.3764)
O (0.3381, 0.8097, 0.8764)
O (0.4376, 0.0983, 0.7548)
O (0.4376, 0.4017, 0.2548)
O (0.5624, 0.5983, 0.7452)
O (0.5624, 0.9017, 0.2452)
O (0.6619, 0.1903, 0.1236)
O (0.6619, 0.3097, 0.6236)
O (0.7187, 0.5993, 0.1434)
O (0.7187, 0.9007, 0.6434)
O (0.8903, 0.6142, 0.5567)
O (0.8903, 0.8858, 0.0567)
O (0.9000, 0.1263, 0.5131)
O (0.9000, 0.3737, 0.0131)



(4)
Computed, not measured: Ac2BiOsO8 after structural relaxation at the GGA-PBE level of DFT.

Results
As for the magnetic moment: 0.170 μB per formula unit. As for the energy: -86.54 eV/f.u. As for the space-group type: P-1.

Unit cell a=5.0915 b=5.3416 c=7.2885 alpha=90.42 beta=90.83 gamma=91.31
Positions (direct):
Ac (0.0557, 0.0406, 0.2549)
Ac (0.9443, 0.9594, 0.7451)
Bi (0.5000, 0.5000, 0.0000)
Os (0.5000, 0.5000, 0.5000)
O (0.1811, 0.2035, 0.9697)
O (0.2230, 0.2819, 0.5387)
O (0.3120, 0.6509, 0.2940)
O (0.3758, 0.7226, 0.6980)
O (0.6242, 0.2774, 0.3020)
O (0.6880, 0.3491, 0.7060)
O (0.7770, 0.7181, 0.4613)
O (0.8189, 0.7965, 0.0303)



(5)
Computed, not measured: AcBi2OsO8 after structural relaxation at the GGA-PBE level of DFT.

Results
As for the magnetic moment: 0.000 μB per formula unit. As for the energy: -81.48 eV/f.u. As for the space-group type: P2/m.

Unit cell a=5.3180 b=7.0032 c=5.3299 alpha=90.00 beta=92.73 gamma=90.00
Positions (direct):
Ac (0.0000, 0.0000, 0.0000)
Bi (0.5000, 0.2529, 0.5000)
Bi (0.5000, 0.7471, 0.5000)
Os (0.0000, 0.5000, 0.0000)
O (0.1814, 0.2952, 0.1848)
O (0.1814, 0.7048, 0.1848)
O (0.2396, 0.5000, 0.7653)
O (0.3266, 0.0000, 0.6767)
O (0.6734, 0.0000, 0.3233)
O (0.7604, 0.5000, 0.2347)
O (0.8186, 0.2952, 0.8152)
O (0.8186, 0.7048, 0.8152)



(6)
Computed, not measured: AcBi2PO8 after structural relaxation at the GGA-PBE level of DFT.

Results
As for the magnetic moment: 0.000 μB per formula unit. As for the energy: -76.17 eV/f.u. As for the space-group type: P-3m1.

Unit cell a=5.1577 b=5.1577 c=6.8626 alpha=90.00 beta=90.00 gamma=120.00
Positions (direct):
Ac (0.0000, 0.0000, 0.0000)
Bi (0.3333, 0.6667, 0.3658)
Bi (0.6667, 0.3333, 0.6342)
P (0.0000, 0.0000, 0.5000)
O (0.1542, 0.3083, 0.6473)
O (0.1542, 0.8458, 0.6473)
O (0.3083, 0.1542, 0.3527)
O (0.3333, 0.6667, 0.0637)
O (0.6667, 0.3333, 0.9363)
O (0.6917, 0.8458, 0.6473)
O (0.8458, 0.1542, 0.3527)
O (0.8458, 0.6917, 0.3527)



(7)
Computed, not measured: Ac2BiPO8 after structural relaxation at the GGA-PBE level of DFT.

Results
As for the magnetic moment: 2.057 μB per formula unit. As for the energy: -80.36 eV/f.u. As for the space-group type: P-3m1.

Unit cell a=5.4978 b=5.4978 c=6.3837 alpha=90.00 beta=90.00 gamma=120.00
Positions (direct):
Ac (0.3333, 0.6667, 0.3506)
Ac (0.6667, 0.3333, 0.6494)
Bi (0.0000, 0.0000, 0.0000)
P (0.0000, 0.0000, 0.5000)
O (0.1471, 0.2941, 0.6592)
O (0.1471, 0.8529, 0.6592)
O (0.2941, 0.1471, 0.3408)
O (0.3333, 0.6667, 0.0059)
O (0.6667, 0.3333, 0.9941)
O (0.7059, 0.8529, 0.6592)
O (0.8529, 0.1471, 0.3408)
O (0.8529, 0.7059, 0.3408)



(8)
Computed, not measured: AcBiPO6 after structural relaxation at the GGA-PBE level of DFT.

Results
As for the magnetic moment: 0.615 μB per formula unit. As for the energy: -60.97 eV/f.u. As for the space-group type: P312.

Unit cell a=5.3696 b=5.3696 c=5.2013 alpha=90.00 beta=90.00 gamma=120.00
Positions (direct):
Ac (0.0000, 0.0000, 0.0000)
Bi (0.3333, 0.6667, 0.5000)
P (0.6667, 0.3333, 0.5000)
O (0.4070, 0.0692, 0.7004)
O (0.4070, 0.3377, 0.2996)
O (0.6623, 0.0692, 0.2996)
O (0.6623, 0.5930, 0.7004)
O (0.9308, 0.3377, 0.7004)
O (0.9308, 0.5930, 0.2996)



(9)
Computed, not measured: Ac3BiPO after structural relaxation at the GGA-PBE level of DFT.

Results
As for the magnetic moment: 0.000 μB per formula unit. As for the energy: -37.12 eV/f.u. As for the space-group type: P2_1/m.

Unit cell a=9.4213 b=4.4749 c=9.7542 alpha=90.00 beta=102.78 gamma=90.00
Positions (direct):
Ac (0.0683, 0.2500, 0.3367)
Ac (0.3276, 0.2500, 0.9764)
Ac (0.3855, 0.7500, 0.6470)
Ac (0.6145, 0.2500, 0.3530)
Ac (0.6724, 0.7500, 0.0236)
Ac (0.9317, 0.7500, 0.6633)
Bi (0.3218, 0.7500, 0.2688)
Bi (0.6782, 0.2500, 0.7312)
P (0.1583, 0.2500, 0.6558)
P (0.8417, 0.7500, 0.3442)
O (0.4148, 0.7500, 0.9071)
O (0.5852, 0.2500, 0.0929)



(10)
Computed, not measured: AcBiP2O8 after structural relaxation at the GGA-PBE level of DFT.

Results
As for the magnetic moment: 0.000 μB per formula unit. As for the energy: -87.59 eV/f.u. As for the space-group type: P-3.

Unit cell a=5.2987 b=5.2987 c=7.7184 alpha=90.00 beta=90.00 gamma=120.00
Positions (direct):
Ac (0.0000, 0.0000, 0.0000)
Bi (0.0000, 0.0000, 0.5000)
P (0.3333, 0.6667, 0.7845)
P (0.6667, 0.3333, 0.2155)
O (0.1328, 0.3492, 0.7201)
O (0.2164, 0.8672, 0.7201)
O (0.3333, 0.6667, 0.9840)
O (0.3492, 0.2164, 0.2799)
O (0.6508, 0.7836, 0.7201)
O (0.6667, 0.3333, 0.0160)
O (0.7836, 0.1328, 0.2799)
O (0.8672, 0.6508, 0.2799)



(11)
Computed, not measured: AcPaBiO5 after structural relaxation at the GGA-PBE level of DFT.

Results
As for the magnetic moment: 0.000 μB per formula unit. As for the energy: -65.14 eV/f.u. As for the space-group type: C2/c.

Unit cell a=6.9705 b=6.9705 c=6.8742 alpha=107.00 beta=107.00 gamma=100.58
Positions (direct):
Ac (0.0987, 0.9013, 0.7500)
Ac (0.9013, 0.0987, 0.2500)
Pa (0.0000, 0.5000, 0.0000)
Pa (0.5000, 0.0000, 0.5000)
Bi (0.4546, 0.5454, 0.7500)
Bi (0.5454, 0.4546, 0.2500)
O (0.1044, 0.2282, 0.0295)
O (0.1282, 0.5377, 0.7511)
O (0.2282, 0.1044, 0.5295)
O (0.3002, 0.6998, 0.2500)
O (0.4623, 0.8718, 0.7489)
O (0.5377, 0.1282, 0.2511)
O (0.6998, 0.3002, 0.7500)
O (0.7718, 0.8956, 0.4705)
O (0.8718, 0.4623, 0.2489)
O (0.8956, 0.7718, 0.9705)



(12)
Computed, not measured: Ac2PaBiO8 after structural relaxation at the GGA-PBE level of DFT.

Results
As for the magnetic moment: 0.000 μB per formula unit. As for the energy: -93.58 eV/f.u. As for the space-group type: P2/m.

Unit cell a=5.7948 b=3.8543 c=8.5161 alpha=90.00 beta=96.27 gamma=90.00
Positions (direct):
Ac (0.0066, 0.0000, 0.2453)
Ac (0.9934, 0.0000, 0.7547)
Pa (0.5000, 0.5000, 0.0000)
Bi (0.5000, 0.5000, 0.5000)
O (0.2485, 0.5000, 0.7998)
O (0.2746, 0.0000, 0.5277)
O (0.2807, 0.0000, 0.0270)
O (0.3037, 0.5000, 0.2764)
O (0.6963, 0.5000, 0.7236)
O (0.7193, 0.0000, 0.9730)
O (0.7254, 0.0000, 0.4723)
O (0.7515, 0.5000, 0.2002)